1 | Here is crystalline ScPdC2 at its relaxed geometry from Alexandria via LeMat-Bulk. Energies are from PBE-GGA.

Structure (CIF):
```
data_ScPdC2
_space_group_name_H-M_alt 'F m -3 m'
_space_group_IT_number 225
_space_group_name_Hall '-F 4 2 3'
_cell_length_a 5.6391
_cell_length_b 5.6391
_cell_length_c 5.6391
_cell_angle_alpha 90.00
_cell_angle_beta 90.00
_cell_angle_gamma 90.00
loop_
_atom_site_label
_atom_site_type_symbol
_atom_site_fract_x
_atom_site_fract_y
_atom_site_fract_z
Sc1 Sc 0.0000 0.0000 0.0000
Pd1 Pd 0.0000 0.0000 0.5000
C1 C 0.2500 0.2500 0.2500
```

Results
Total magnetic moment = 0.00 μB per formula unit

2 | Here is crystalline ScPdC2 at its relaxed geometry from Alexandria via LeMat-Bulk. Energies are from PBE-GGA.

Structure (CIF):
```
data_ScPdC2
_space_group_name_H-M_alt 'I -4 2 d'
_space_group_IT_number 122
_space_group_name_Hall 'I -4 2bw'
_cell_length_a 4.6747
_cell_length_b 4.6747
_cell_length_c 10.4987
_cell_angle_alpha 90.00
_cell_angle_beta 90.00
_cell_angle_gamma 90.00
loop_
_atom_site_label
_atom_site_type_symbol
_atom_site_fract_x
_atom_site_fract_y
_atom_site_fract_z
Sc1 Sc 0.0000 0.0000 0.0000
Pd1 Pd 0.0000 0.0000 0.5000
C1 C 0.2073 0.2500 0.6250
```

Results
Total magnetic moment = 0.00 μB per formula unit

The structure with the least stability is 1.